# 1
Below is a relaxed structure of BaY3Ru, with properties calculated at the PBE level.

Lattice parameters (Å, degrees): 4.498 4.498 23.007 90.00 90.00 120.00
Element x y z (fractional)
Y (0.000, 0.000, 0.250)
Y (0.000, 0.000, 0.750)
Y (0.333, 0.667, 0.864)
Y (0.333, 0.667, 0.636)
Y (0.667, 0.333, 0.364)
Y (0.667, 0.333, 0.136)
Ru (0.333, 0.667, 0.750)
Ru (0.667, 0.333, 0.250)
Ba (0.000, 0.000, 0.000)
Ba (0.000, 0.000, 0.500)

Computed properties:
- Formation energy from the elements: 0.35 eV/atom
- Density of states at the Fermi level: 11.9 states/eV per cell
- Energy above the most stable polymorph in this dataset: 0.521 eV per atom
- Crystal system: hexagonal


# 2
Below is a relaxed structure of BaYRu, with properties calculated at the PBE level.

Lattice parameters (Å, degrees): 5.036 5.036 5.036 60.00 60.00 60.00
Element x y z (fractional)
Ba (0.500, 0.500, 0.500)
Ru (0.750, 0.750, 0.750)
Y (0.000, 0.000, 0.000)

Computed properties:
- Formation energy from the elements: 0.29 eV/atom
- Density of states at the Fermi level: 3.4 states/eV per cell
- Energy above the most stable polymorph in this dataset: 0.190 eV per atom
- Crystal system: cubic


# 3
Below is a relaxed structure of BaY3Ru, with properties calculated at the PBE level.

Lattice parameters (Å, degrees): 6.292 16.248 6.713 90.00 90.00 90.00
Element x y z (fractional)
Y (0.000, 0.862, 0.947)
Y (0.500, 0.362, 0.447)
Y (0.500, 0.138, 0.447)
Y (0.000, 0.362, 0.053)
Y (0.000, 0.138, 0.053)
Y (0.500, 0.638, 0.553)
Y (0.500, 0.862, 0.553)
Y (0.000, 0.638, 0.947)
Y (0.501, 0.250, 0.916)
Y (0.999, 0.750, 0.416)
Y (0.499, 0.750, 0.084)
Y (0.001, 0.250, 0.584)
Ru (0.751, 0.250, 0.250)
Ru (0.749, 0.750, 0.750)
Ru (0.249, 0.750, 0.750)
Ru (0.251, 0.250, 0.250)
Ba (0.000, 0.000, 0.500)
Ba (0.500, 0.500, 0.000)
Ba (0.500, 0.000, 0.000)
Ba (0.000, 0.500, 0.500)

Computed properties:
- Formation energy from the elements: -0.13 eV/atom
- Density of states at the Fermi level: 27.2 states/eV per cell
- Energy above the most stable polymorph in this dataset: 0.042 eV per atom
- Crystal system: orthorhombic


# 4
Below is a relaxed structure of BaY2ZnRu, with properties calculated at the PBE level.

Lattice parameters (Å, degrees): 5.324 5.324 5.301 90.00 90.00 90.00
Element x y z (fractional)
Y (0.000, 0.500, 0.000)
Y (0.500, 0.000, 0.000)
Ru (0.000, 0.000, 0.000)
Zn (0.000, 0.000, 0.500)
Ba (0.500, 0.500, 0.500)

Computed properties:
- Formation energy from the elements: -0.07 eV/atom
- Density of states at the Fermi level: 4.0 states/eV per cell
- Crystal system: tetragonal


# 5
Below is a relaxed structure of BaYZr2Ru, with properties calculated at the PBE level.

Lattice parameters (Å, degrees): 5.209 5.409 5.209 90.00 90.00 90.00
Element x y z (fractional)
Y (0.000, 0.500, 0.000)
Ru (0.500, 0.500, 0.500)
Ba (0.000, 0.000, 0.000)
Zr (0.000, 0.000, 0.500)
Zr (0.500, 0.000, 0.000)

Computed properties:
- Formation energy from the elements: 2.06 eV/atom
- Density of states at the Fermi level: 6.9 states/eV per cell
- Crystal system: tetragonal


# 6
Below is a relaxed structure of BaZn2Ru, with properties calculated at the PBE level.

Lattice parameters (Å, degrees): 5.299 5.299 5.299 130.38 130.38 72.80
Site moments in Bohr magnetons follow the coordinates.
Element x y z (fractional)
Ba (0.250, 0.750, 0.500)  0.00
Ru (0.750, 0.250, 0.500)  0.24
Zn (0.000, 0.000, 0.000)  0.00
Zn (0.500, 0.500, 0.000)  0.00

Computed properties:
- Formation energy from the elements: 0.42 eV/atom
- Density of states at the Fermi level: 3.9 states/eV per cell
- Crystal system: tetragonal


# 7
Below is a relaxed structure of BaZn2Ru, with properties calculated at the PBE level.

Lattice parameters (Å, degrees): 4.975 4.975 4.975 60.00 60.00 60.00
Element x y z (fractional)
Ru (0.000, 0.000, 0.000)
Zn (0.250, 0.250, 0.250)
Zn (0.750, 0.750, 0.750)
Ba (0.500, 0.500, 0.500)

Computed properties:
- Formation energy from the elements: 0.45 eV/atom
- Density of states at the Fermi level: 3.6 states/eV per cell
- Crystal system: cubic


# 8
Below is a relaxed structure of Ba2ZnRu, with properties calculated at the PBE level.

Lattice parameters (Å, degrees): 5.726 5.726 5.726 129.19 129.19 74.71
Element x y z (fractional)
Ba (0.000, 0.000, 0.000)
Ba (0.250, 0.750, 0.500)
Ru (0.500, 0.500, 0.000)
Zn (0.750, 0.250, 0.500)

Computed properties:
- Formation energy from the elements: 0.48 eV/atom
- Density of states at the Fermi level: 2.3 states/eV per cell
- Crystal system: tetragonal


# 9
Below is a relaxed structure of BaZn2Ru, with properties calculated at the PBE level.

Lattice parameters (Å, degrees): 3.599 4.580 5.158 90.00 90.00 90.00
Element x y z (fractional)
Ba (0.500, 0.000, 0.500)
Ru (0.000, 0.500, 0.500)
Zn (0.000, 0.000, 0.000)
Zn (0.500, 0.500, 0.000)

Computed properties:
- Formation energy from the elements: 0.60 eV/atom
- Density of states at the Fermi level: 3.5 states/eV per cell
- Crystal system: orthorhombic


# 10
Below is a relaxed structure of Ba2ZnRu, with properties calculated at the PBE level.

Lattice parameters (Å, degrees): 3.663 3.663 9.282 90.00 90.00 90.01
Element x y z (fractional)
Ba (0.000, 0.000, 0.905)
Ba (0.500, 0.500, 0.338)
Ru (0.000, 0.000, 0.595)
Zn (0.500, 0.500, 0.663)

Computed properties:
- Formation energy from the elements: 0.19 eV/atom
- Density of states at the Fermi level: 2.9 states/eV per cell
- Crystal system: tetragonal


# 11
Below is a relaxed structure of Ba2ZnRu, with properties calculated at the PBE level.

Lattice parameters (Å, degrees): 7.991 7.991 4.596 73.28 73.28 32.34
Element x y z (fractional)
Ba (0.998, 0.998, 0.002)
Ba (0.741, 0.741, 0.759)
Ru (0.595, 0.595, 0.406)
Zn (0.166, 0.166, 0.334)

Computed properties:
- Formation energy from the elements: 0.18 eV/atom
- Density of states at the Fermi level: 3.1 states/eV per cell
- Crystal system: orthorhombic


# 12
Below is a relaxed structure of BaZn2Ru, with properties calculated at the PBE level.

Lattice parameters (Å, degrees): 4.562 4.361 4.361 90.00 90.00 90.00
Element x y z (fractional)
Ba (0.500, 0.500, 0.000)
Ru (0.500, 0.000, 0.500)
Zn (0.000, 0.000, 0.000)
Zn (0.000, 0.500, 0.500)

Computed properties:
- Formation energy from the elements: 0.58 eV/atom
- Density of states at the Fermi level: 3.3 states/eV per cell
- Crystal system: tetragonal


# 13
Below is a relaxed structure of Ba2ZnRu, with properties calculated at the PBE level.

Lattice parameters (Å, degrees): 5.319 5.319 5.319 60.00 60.00 60.00
Element x y z (fractional)
Ba (0.000, 0.000, 0.000)
Ba (0.250, 0.250, 0.250)
Ru (0.500, 0.500, 0.500)
Zn (0.750, 0.750, 0.750)

Computed properties:
- Formation energy from the elements: 0.48 eV/atom
- Density of states at the Fermi level: 2.2 states/eV per cell
- Crystal system: cubic


# 14
Below is a relaxed structure of BaZn2Ru, with properties calculated at the PBE level.

Lattice parameters (Å, degrees): 4.856 4.856 4.856 114.41 114.41 99.98
Element x y z (fractional)
Ba (0.500, 0.500, 0.000)
Ru (0.750, 0.250, 0.500)
Zn (0.000, 0.000, 0.000)
Zn (0.250, 0.750, 0.500)

Computed properties:
- Formation energy from the elements: 0.53 eV/atom
- Density of states at the Fermi level: 2.2 states/eV per cell
- Crystal system: tetragonal


# 15
Below is a relaxed structure of Ba2ZnRu, with properties calculated at the PBE level.

Lattice parameters (Å, degrees): 11.420 11.420 8.448 47.47 47.47 90.00
Element x y z (fractional)
Ru (0.000, 0.000, 0.000)
Ru (0.750, 0.250, 0.500)
Zn (0.500, 0.500, 0.000)
Zn (0.250, 0.750, 0.500)
Ba (0.820, 0.125, 0.250)
Ba (0.930, 0.625, 0.250)
Ba (0.375, 0.180, 0.750)
Ba (0.875, 0.070, 0.750)

Computed properties:
- Formation energy from the elements: 0.21 eV/atom
- Density of states at the Fermi level: 6.0 states/eV per cell
- Crystal system: tetragonal


# 16
Below is a relaxed structure of BaZn2Ru, with properties calculated at the PBE level.

Lattice parameters (Å, degrees): 3.346 3.365 8.111 65.61 90.00 90.00
Element x y z (fractional)
Ba (0.500, 0.250, 0.250)
Ru (0.500, 0.750, 0.750)
Zn (0.000, 0.083, 0.917)
Zn (0.000, 0.417, 0.583)

Computed properties:
- Formation energy from the elements: 0.13 eV/atom
- Density of states at the Fermi level: 4.0 states/eV per cell
- Crystal system: monoclinic


# 17
Below is a relaxed structure of Ba2Zn6Ru, with properties calculated at the PBE level.

Lattice parameters (Å, degrees): 5.797 6.522 6.522 60.02 89.98 89.98
Element x y z (fractional)
Ba (0.835, 0.667, 0.667)
Ba (0.165, 0.333, 0.333)
Zn (0.321, 0.307, 0.847)
Zn (0.321, 0.846, 0.846)
Zn (0.321, 0.847, 0.307)
Zn (0.679, 0.693, 0.153)
Zn (0.679, 0.154, 0.154)
Zn (0.679, 0.153, 0.693)
Ru (0.000, 0.000, 0.000)

Computed properties:
- Formation energy from the elements: -0.08 eV/atom
- Density of states at the Fermi level: 4.0 states/eV per cell
- Crystal system: trigonal


# 18
Below is a relaxed structure of Ba2ZnRu, with properties calculated at the PBE level.

Lattice parameters (Å, degrees): 4.609 4.821 6.333 67.63 90.00 90.00
Element x y z (fractional)
Ba (0.000, 0.987, 0.901)
Ba (0.500, 0.270, 0.335)
Ru (0.000, 0.663, 0.549)
Zn (0.500, 0.580, 0.716)

Computed properties:
- Formation energy from the elements: 0.11 eV/atom
- Density of states at the Fermi level: 2.2 states/eV per cell
- Crystal system: orthorhombic


# 19
Below is a relaxed structure of Ba2ZnRu, with properties calculated at the PBE level.

Lattice parameters (Å, degrees): 3.813 3.812 8.299 90.00 90.00 90.00
Element x y z (fractional)
Ba (0.000, 0.000, 0.029)
Ba (0.000, 0.000, 0.471)
Ru (0.500, 0.500, 0.250)
Zn (0.500, 0.500, 0.750)

Computed properties:
- Formation energy from the elements: 0.33 eV/atom
- Density of states at the Fermi level: 3.1 states/eV per cell
- Crystal system: tetragonal


# 20
Below is a relaxed structure of BaZn2Ru, with properties calculated at the PBE level.

Lattice parameters (Å, degrees): 3.881 3.412 6.941 89.90 90.00 90.00
Element x y z (fractional)
Ba (0.000, 0.623, 0.507)
Ru (0.500, 0.626, 0.895)
Zn (0.000, 0.126, 0.922)
Zn (0.500, 0.125, 0.177)

Computed properties:
- Formation energy from the elements: 0.14 eV/atom
- Density of states at the Fermi level: 1.7 states/eV per cell
- Crystal system: monoclinic